[1]
Material: LiLuTaRu
Method: DFT, PBE
State: optimized geometry

Cell: 6.5241 6.5241 6.5241 Å, 90.00 90.00 90.00°
Space group F-43m (No. 216)
Inequivalent atoms, fractional coordinates:
Li1 0.0000 0.0000 0.0000 [4 per cell]
Lu1 0.2500 0.2500 0.7500 [4 per cell]
Ta1 0.2500 0.2500 0.2500 [4 per cell]
Ru1 0.0000 0.0000 0.5000 [4 per cell]

Calculated values
Final energy (eV per cell): -112.05
Calculated formation energy (eV/atom): -0.11

---

[2]
Material: LiLuThRu
Method: DFT, PBE
State: optimized geometry

Cell: 7.0159 7.0159 7.0159 Å, 90.00 90.00 90.00°
Space group F-43m (No. 216)
Inequivalent atoms, fractional coordinates:
Li1 0.0000 0.0000 0.0000 [4 per cell]
Lu1 0.2500 0.2500 0.7500 [4 per cell]
Th1 0.2500 0.2500 0.2500 [4 per cell]
Ru1 0.0000 0.0000 0.5000 [4 per cell]

Calculated values
Final energy (eV per cell): -96.80
Calculated formation energy (eV/atom): -0.27

---

[3]
Material: LiTmLuRu
Method: DFT, PBE
State: optimized geometry

Cell: 6.8266 6.8266 6.8266 Å, 90.00 90.00 90.00°
Space group F-43m (No. 216)
Inequivalent atoms, fractional coordinates:
Li1 0.0000 0.0000 0.0000 [4 per cell]
Tm1 0.2500 0.2500 0.2500 [4 per cell]
Lu1 0.2500 0.2500 0.7500 [4 per cell]
Ru1 0.0000 0.0000 0.5000 [4 per cell]

Calculated values
Final energy (eV per cell): -86.22
Calculated formation energy (eV/atom): -0.34

---

[4]
Material: LiYLuRu
Method: DFT, PBE
State: optimized geometry

Cell: 6.8872 6.8872 6.8872 Å, 90.00 90.00 90.00°
Space group F-43m (No. 216)
Inequivalent atoms, fractional coordinates:
Li1 0.0000 0.0000 0.0000 [4 per cell]
Y1 0.2500 0.2500 0.7500 [4 per cell]
Lu1 0.2500 0.2500 0.2500 [4 per cell]
Ru1 0.0000 0.0000 0.5000 [4 per cell]

Calculated values
Final energy (eV per cell): -93.56
Calculated formation energy (eV/atom): -0.30

---

[5]
Material: LiLuZnRu
Method: DFT, PBE
State: optimized geometry

Cell: 6.4421 6.4421 6.4421 Å, 90.00 90.00 90.00°
Space group F-43m (No. 216)
Inequivalent atoms, fractional coordinates:
Li1 0.0000 0.0000 0.0000 [4 per cell]
Lu1 0.2500 0.2500 0.7500 [4 per cell]
Zn1 0.2500 0.2500 0.2500 [4 per cell]
Ru1 0.0000 0.0000 0.5000 [4 per cell]

Calculated values
Final energy (eV per cell): -71.11
Calculated formation energy (eV/atom): -0.20

---

[6]
Material: LiLuZrRu
Method: DFT, PBE
State: optimized geometry

Cell: 6.6916 6.6916 6.6916 Å, 90.00 90.00 90.00°
Space group F-43m (No. 216)
Inequivalent atoms, fractional coordinates:
Li1 0.0000 0.0000 0.0000 [4 per cell]
Lu1 0.2500 0.2500 0.2500 [4 per cell]
Zr1 0.2500 0.2500 0.7500 [4 per cell]
Ru1 0.0000 0.0000 0.5000 [4 per cell]

Calculated values
Final energy (eV per cell): -102.08
Calculated formation energy (eV/atom): -0.32

---

[7]
Material: Li2LuSb
Method: DFT, PBE
State: optimized geometry

Cell: 4.3094 4.3094 4.7162 Å, 90.00 90.00 90.00°
Space group P4/mmm (No. 123)
Inequivalent atoms, fractional coordinates:
Li1 0.0000 0.5000 0.0000 [2 per cell]
Lu1 0.0000 0.0000 0.5000 [1 per cell]
Sb1 0.5000 0.5000 0.5000 [1 per cell]

Calculated values
Formation energy without anion corrections (eV/atom): -0.520
Final energy (eV per cell): -14.55

---

[8]
Material: LiLuSc2
Method: DFT, PBE
State: optimized geometry

Cell: 3.3977 3.3977 8.3125 Å, 90.00 90.00 90.00°
Space group P4/mmm (No. 123)
Inequivalent atoms, fractional coordinates:
Li1 0.0000 0.0000 0.0000 [1 per cell]
Lu1 0.0000 0.0000 0.5000 [1 per cell]
Sc1 0.5000 0.5000 0.2209 [2 per cell]

Calculated values
Final energy (eV per cell): -18.64
Calculated formation energy (eV/atom): 0.12

---

Copy entry 8 word for word.
Material: LiLuSc2
Method: DFT, PBE
State: optimized geometry

Cell: 3.3977 3.3977 8.3125 Å, 90.00 90.00 90.00°
Space group P4/mmm (No. 123)
Inequivalent atoms, fractional coordinates:
Li1 0.0000 0.0000 0.0000 [1 per cell]
Lu1 0.0000 0.0000 0.5000 [1 per cell]
Sc1 0.5000 0.5000 0.2209 [2 per cell]

Calculated values
Final energy (eV per cell): -18.64
Calculated formation energy (eV/atom): 0.12

---

> What is the final energy in the third record?

-86.22 eV per cell

---

> The lowest final energy belongs to which entry?

LiLuTaRu